## SbPb2 (GGA-PBEsol)

Data for a relaxed SbPb2 crystal.

```
SbPb2
1.0
5.5425 0.0000 0.0000
0.0000 5.5357 0.0000
-2.7659 0.0000 12.1794
Sb Pb
4 8
direct
0.0000 0.1253 0.2500 Sb
0.0000 0.8747 0.7500 Sb
0.5000 0.3747 0.7500 Sb
0.5000 0.6253 0.2500 Sb
0.0675 0.3759 0.8862 Pb
0.0675 0.6241 0.3862 Pb
0.4325 0.1241 0.1138 Pb
0.4325 0.8759 0.6138 Pb
0.5675 0.1241 0.3862 Pb
0.5675 0.8759 0.8862 Pb
0.9325 0.3759 0.6138 Pb
0.9325 0.6241 0.1138 Pb
```

D(E_F) in states/eV/f.u.: 1.47
Calculated density in kg/m³: 9530
Energy in eV per atom: -4.103
Energy relative to the lowest polymorph listed for this composition in meV per atom: 63
Crystal system: monoclinic
Total magnetic moment in μB/f.u.: 0.000